1.
Compound: Cr2BiSN
Source: the Alexandria database
Functional: PBE-GGA
Structure: optimized geometry Values from VASP.

Quantum ESPRESSO input file:
```
&SYSTEM
  ibrav = 0, nat = 5, ntyp = 4
/
ATOMIC_SPECIES
Cr 52.00 Cr.upf
N 14.01 N.upf
Bi 208.98 Bi.upf
S 32.06 S.upf
CELL_PARAMETERS angstrom
5.379 0.000 0.000
0.000 5.238 0.000
0.000 0.000 5.379
ATOMIC_POSITIONS angstrom
Cr 2.689 0.000 0.000
Cr 0.000 0.000 2.689
N 2.689 2.619 2.689
Bi 0.000 0.000 0.000
S 0.000 2.619 0.000
```

2.
Compound: Pr3Dy2Tm4
Source: the Alexandria database
Functional: PBE-GGA
Structure: optimized geometry Values from VASP.

Quantum ESPRESSO input file:
```
&SYSTEM
  ibrav = 0, nat = 9, ntyp = 3
/
ATOMIC_SPECIES
Dy 162.50 Dy.upf
Tm 168.93 Tm.upf
Pr 140.91 Pr.upf
CELL_PARAMETERS angstrom
-1.626 3.114 4.403
-5.676 -6.928 -0.800
5.359 -1.873 3.304
ATOMIC_POSITIONS angstrom
Dy -0.923 -5.191 3.330
Dy -1.020 -0.497 3.578
Tm -4.266 -5.086 2.021
Tm -2.142 -2.672 1.098
Tm 0.198 -3.016 5.809
Tm 2.323 -0.602 4.887
Pr 1.326 -2.569 2.307
Pr -3.269 -3.118 4.601
Pr 0.000 0.000 0.000
```

no.,calculated density (g cm⁻³),final energy (eV per cell),magnetic moment (μB/atom)
1,3.9,-24.211,1.653
2,8.0,-40.640,0.000